(1)
## Y3RuPb (PBE-GGA)

Data for crystalline Y3RuPb at its relaxed geometry.

Values from the calculation:
Energy of formation from the pure elements ... 249 meV per atom
Fermi-level density of states ... 1.11 states/eV per atom
DFT total energy ... -6.2258 eV per atom

POSCAR file:
```
Y3RuPb
1.0
3.4900 0.0000 0.0000
0.0000 3.6404 6.0877
0.0000 -3.6404 6.0877
Y Ru Pb
3 1 1
Cartesian
0.0000 0.0000 0.0000
1.7450 -1.8932 8.6053
1.7450 1.8932 8.6053
1.7450 0.0000 10.1732
0.0000 0.0000 6.0017
```

(2)
## YRu2Pb (PBE-GGA)

Data for crystalline YRu2Pb at its relaxed geometry.

Values from the calculation:
Energy of formation from the pure elements ... 73 meV per atom
Fermi-level density of states ... 0.77 states/eV per atom
DFT total energy ... -7.1084 eV per atom

POSCAR file:
```
YRu2Pb
1.0
-1.7459 2.2366 4.9425
1.7459 -2.2366 4.9425
1.7459 2.2366 -4.9425
Y Ru Pb
1 2 1
Cartesian
0.0000 0.0000 0.0000
0.0000 0.0000 5.0271
0.0000 2.2366 2.3358
1.7459 0.0000 2.6829
```

(3)
## YRu2Pb (PBE-GGA)

Data for crystalline YRu2Pb at its relaxed geometry.

Values from the calculation:
Energy of formation from the pure elements ... 255 meV per atom
Fermi-level density of states ... 0.78 states/eV per atom
DFT total energy ... -6.9262 eV per atom

POSCAR file:
```
YRu2Pb
1.0
3.1207 -4.4437 0.0000
3.1207 4.4437 0.0000
-1.3861 0.0000 2.8211
Y Ru Pb
1 2 1
Cartesian
0.0000 0.0000 0.0000
0.8673 2.2219 1.4106
0.8673 -2.2219 1.4106
3.1207 0.0000 0.0000
```

(4)
## Y5Ru2Pb (PBE-GGA)

Data for crystalline Y5Ru2Pb at its relaxed geometry.

Values from the calculation:
Energy of formation from the pure elements ... -415 meV per atom
Fermi-level density of states ... 1.00 states/eV per atom
DFT total energy ... -7.2377 eV per atom

POSCAR file:
```
Y5Ru2Pb
1.0
-3.8702 3.8702 6.9302
3.8702 -3.8702 6.9302
3.8702 3.8702 -6.9302
Y Ru Pb
10 4 2
Cartesian
0.0000 0.0000 0.0000
5.0992 1.2290 -1.8277
1.2290 2.6413 -1.8277
5.0992 1.2290 1.8277
1.2290 2.6413 1.8277
0.0000 0.0000 6.9302
2.6413 1.2290 5.1025
-1.2290 2.6413 5.1025
2.6413 1.2290 8.7579
-1.2290 2.6413 8.7579
2.7813 1.0890 0.0000
2.7813 -1.0890 6.9302
1.0890 4.9592 0.0000
1.0890 2.7813 6.9302
0.0000 0.0000 3.4651
0.0000 0.0000 10.3952
```

(5)
## Y3RuPb2 (PBE-GGA)

Data for crystalline Y3RuPb2 at its relaxed geometry.

Values from the calculation:
Energy of formation from the pure elements ... -458 meV per atom
Fermi-level density of states ... 0.72 states/eV per atom
DFT total energy ... -6.4718 eV per atom

POSCAR file:
```
Y3RuPb2
1.0
12.6754 0.0000 0.0000
0.0000 4.3666 0.0000
0.0000 0.0000 11.7755
Y Ru Pb
12 4 8
Cartesian
0.7028 1.0916 1.5388
1.5064 3.2749 6.3663
3.1705 1.0916 9.2406
3.1672 3.2749 3.3528
4.8313 1.0916 0.4785
5.6349 3.2749 7.4266
7.0405 1.0916 4.3490
7.8441 3.2749 11.2970
9.5082 1.0916 8.4227
9.5049 3.2749 2.5350
11.1691 1.0916 5.4093
11.9726 3.2749 10.2368
1.6028 1.0916 4.3331
4.7349 3.2749 10.2208
7.9405 1.0916 1.5547
11.0726 3.2749 7.4425
0.1502 1.0916 8.1919
2.3511 3.2749 11.6980
3.9866 1.0916 5.8103
6.1875 3.2749 2.3041
6.4879 1.0916 9.4714
8.6888 3.2749 5.9653
10.3243 1.0916 0.0775
12.5252 3.2749 3.5837
```

(6)
## YRu2Pb (PBE-GGA)

Data for crystalline YRu2Pb at its relaxed geometry.

Values from the calculation:
Energy of formation from the pure elements ... 189 meV per atom
Fermi-level density of states ... 0.60 states/eV per atom
DFT total energy ... -6.9922 eV per atom

POSCAR file:
```
YRu2Pb
1.0
4.6099 -1.7022 0.0000
4.6099 1.7022 0.0000
-1.5910 0.0000 5.1391
Y Ru Pb
1 2 1
Cartesian
0.0000 0.0000 0.0000
1.1430 0.0000 3.5936
6.4857 0.0000 1.5454
3.8144 0.0000 2.5695
```

(7)
## YRu2Pb (PBE-GGA)

Data for crystalline YRu2Pb at its relaxed geometry.

Values from the calculation:
Energy of formation from the pure elements ... 132 meV per atom
Fermi-level density of states ... 0.88 states/eV per atom
DFT total energy ... -7.0495 eV per atom

POSCAR file:
```
YRu2Pb
1.0
3.2300 0.0000 0.0000
0.0000 3.2300 0.0000
0.0000 0.0000 7.8007
Y Ru Pb
1 2 1
Cartesian
0.0000 0.0000 0.0000
0.0000 0.0000 4.5635
1.6150 1.6150 5.9151
1.6150 1.6150 2.6679
```

(8)
## Y3RuPb (PBE-GGA)

Data for crystalline Y3RuPb at its relaxed geometry.

Values from the calculation:
Energy of formation from the pure elements ... -391 meV per atom
Fermi-level density of states ... 0.81 states/eV per atom
DFT total energy ... -6.8666 eV per atom

POSCAR file:
```
Y3RuPb
1.0
5.6984 0.0000 0.0000
0.0000 6.6190 0.0000
-1.7507 0.0000 7.1876
Y Ru Pb
6 2 2
Cartesian
0.5789 1.6548 0.7216
0.6184 0.0448 5.0509
0.6184 3.2647 5.0509
3.3293 3.3544 2.1368
3.3293 6.5742 2.1368
3.3687 4.9643 6.4661
0.5183 4.9643 7.1719
3.4294 1.6548 0.0158
0.4612 4.9643 2.3106
3.4865 1.6548 4.8771
```